Arrangement A

Material: LiB2Au
Method: DFT, PBE
State: relaxed

The structure in CIF format:
```
data_LiB2Au
_chemical_formula_sum 'Li4 B8 Au4'
_cell_length_a 5.487
_cell_length_b 5.487
_cell_length_c 5.487
_cell_angle_alpha 90.00
_cell_angle_beta 90.00
_cell_angle_gamma 90.00
_space_group_name_H-M_alt 'F m -3 m'
_space_group_IT_number 225
_space_group_name_Hall '-F 4 2 3'
loop_
_atom_site_label
_atom_site_type_symbol
_atom_site_fract_x
_atom_site_fract_y
_atom_site_fract_z
Li1 Li 0.000 0.000 0.000
B1 B 0.250 0.250 0.250
Au1 Au 0.000 0.000 0.500
```



Arrangement B

Material: LiB2Au
Method: DFT, PBE
State: relaxed

The structure in CIF format:
```
data_LiB2Au
_chemical_formula_sum 'Li4 B8 Au4'
_cell_length_a 3.505
_cell_length_b 3.505
_cell_length_c 16.254
_cell_angle_alpha 90.00
_cell_angle_beta 90.00
_cell_angle_gamma 90.00
_space_group_name_H-M_alt 'I 41/a m d'
_space_group_IT_number 141
loop_
_space_group_symop_operation_xyz
'x,y,z'
'-x,-y,-z'
'-y+1/4,x+3/4,z+1/4'
'y+1/4,-x+3/4,-z+1/4'
'-x+1/2,-y,z+1/2'
'x+1/2,y,-z+1/2'
'y+1/4,-x+1/4,z+3/4'
'-y+1/4,x+1/4,-z+3/4'
'x,-y,-z'
'-x,y,z'
'-y+1/4,-x+1/4,-z+3/4'
'y+1/4,x+1/4,z+3/4'
'-x+1/2,y,-z+1/2'
'x+1/2,-y,z+1/2'
'y+1/4,x+3/4,-z+1/4'
'-y+1/4,-x+3/4,z+1/4'
'x+1/2,y+1/2,z+1/2'
'-x+1/2,-y+1/2,-z+1/2'
'-y+3/4,x+1/4,z+3/4'
'y+3/4,-x+1/4,-z+3/4'
'-x,-y+1/2,z'
'x,y+1/2,-z'
'y+3/4,-x+3/4,z+1/4'
'-y+3/4,x+3/4,-z+1/4'
'x+1/2,-y+1/2,-z+1/2'
'-x+1/2,y+1/2,z+1/2'
'-y+3/4,-x+3/4,-z+1/4'
'y+3/4,x+3/4,z+1/4'
'-x,y+1/2,-z'
'x,-y+1/2,z'
'y+3/4,x+1/4,-z+3/4'
'-y+3/4,-x+1/4,z+3/4'
loop_
_atom_site_label
_atom_site_type_symbol
_atom_site_fract_x
_atom_site_fract_y
_atom_site_fract_z
Li1 Li 0.000 0.250 0.375
B1 B 0.000 0.000 0.000
Au1 Au 0.000 0.250 0.875
```



Stability check: which of them is least stable? arrangement A.



Arrangement A

Material: LiB3Au
Method: DFT, PBE
State: relaxed

The structure in CIF format:
```
data_LiB3Au
_chemical_formula_sum 'Li1 B3 Au1'
_cell_length_a 3.826
_cell_length_b 3.826
_cell_length_c 3.826
_cell_angle_alpha 90.00
_cell_angle_beta 90.00
_cell_angle_gamma 90.00
_space_group_name_H-M_alt 'P m -3 m'
_space_group_IT_number 221
_space_group_name_Hall '-P 4 2 3'
loop_
_atom_site_label
_atom_site_type_symbol
_atom_site_fract_x
_atom_site_fract_y
_atom_site_fract_z
Li1 Li 0.000 0.000 0.000
B1 B 0.000 0.000 0.500
Au1 Au 0.500 0.500 0.500
```



Arrangement B

Material: LiB3Au
Method: DFT, PBE
State: relaxed

The structure in CIF format:
```
data_LiB3Au
_chemical_formula_sum 'Li1 B3 Au1'
_cell_length_a 4.226
_cell_length_b 4.226
_cell_length_c 4.226
_cell_angle_alpha 90.00
_cell_angle_beta 90.00
_cell_angle_gamma 90.00
_space_group_name_H-M_alt 'P m -3 m'
_space_group_IT_number 221
_space_group_name_Hall '-P 4 2 3'
loop_
_atom_site_label
_atom_site_type_symbol
_atom_site_fract_x
_atom_site_fract_y
_atom_site_fract_z
Li1 Li 0.000 0.000 0.000
B1 B 0.000 0.500 0.500
Au1 Au 0.500 0.500 0.500
```



Stability check: which of them is least stable? arrangement A.



Arrangement A

Material: LiBPt2Au
Method: DFT, PBE
State: relaxed

The structure in CIF format:
```
data_LiBPt2Au
_chemical_formula_sum 'Li1 B1 Pt2 Au1'
_cell_length_a 4.139
_cell_length_b 4.139
_cell_length_c 4.467
_cell_angle_alpha 90.00
_cell_angle_beta 90.00
_cell_angle_gamma 90.00
_space_group_name_H-M_alt 'P 4/m m m'
_space_group_IT_number 123
_space_group_name_Hall '-P 4 2'
loop_
_atom_site_label
_atom_site_type_symbol
_atom_site_fract_x
_atom_site_fract_y
_atom_site_fract_z
Li1 Li 0.000 0.000 0.000
B1 B 0.500 0.500 0.500
Pt1 Pt 0.000 0.500 0.500
Au1 Au 0.500 0.500 0.000
```



Arrangement B

Material: LiBPt2Au
Method: DFT, PBE
State: relaxed

The structure in CIF format:
```
data_LiBPt2Au
_chemical_formula_sum 'Li1 B1 Pt2 Au1'
_cell_length_a 4.085
_cell_length_b 4.085
_cell_length_c 4.416
_cell_angle_alpha 90.00
_cell_angle_beta 90.00
_cell_angle_gamma 90.00
_space_group_name_H-M_alt 'P 4/m m m'
_space_group_IT_number 123
_space_group_name_Hall '-P 4 2'
loop_
_atom_site_label
_atom_site_type_symbol
_atom_site_fract_x
_atom_site_fract_y
_atom_site_fract_z
Li1 Li 0.000 0.000 0.000
B1 B 0.000 0.000 0.500
Pt1 Pt 0.000 0.500 0.500
Au1 Au 0.500 0.500 0.000
```



Stability check: which of them is least stable? arrangement B.



Arrangement A

Material: Mg3BAu
Method: DFT, PBE
State: relaxed

The structure in CIF format:
```
data_Mg3BAu
_chemical_formula_sum 'Mg3 B1 Au1'
_cell_length_a 5.033
_cell_length_b 5.033
_cell_length_c 5.033
_cell_angle_alpha 90.00
_cell_angle_beta 90.00
_cell_angle_gamma 90.00
_space_group_name_H-M_alt 'P m -3 m'
_space_group_IT_number 221
_space_group_name_Hall '-P 4 2 3'
loop_
_atom_site_label
_atom_site_type_symbol
_atom_site_fract_x
_atom_site_fract_y
_atom_site_fract_z
Mg1 Mg 0.000 0.000 0.500
B1 B 0.500 0.500 0.500
Au1 Au 0.000 0.000 0.000
```



Arrangement B

Material: Mg3BAu
Method: DFT, PBE
State: relaxed

The structure in CIF format:
```
data_Mg3BAu
_chemical_formula_sum 'Mg3 B1 Au1'
_cell_length_a 4.517
_cell_length_b 4.517
_cell_length_c 4.517
_cell_angle_alpha 90.00
_cell_angle_beta 90.00
_cell_angle_gamma 90.00
_space_group_name_H-M_alt 'P m -3 m'
_space_group_IT_number 221
_space_group_name_Hall '-P 4 2 3'
loop_
_atom_site_label
_atom_site_type_symbol
_atom_site_fract_x
_atom_site_fract_y
_atom_site_fract_z
Mg1 Mg 0.000 0.000 0.500
B1 B 0.000 0.000 0.000
Au1 Au 0.500 0.500 0.500
```



Stability check: which of them is least stable? arrangement A.



Arrangement A

Material: MnB2Au
Method: DFT, PBE
State: relaxed

The structure in CIF format:
```
data_MnB2Au
_chemical_formula_sum 'Mn4 B8 Au4'
_cell_length_a 4.794
_cell_length_b 4.794
_cell_length_c 9.406
_cell_angle_alpha 90.00
_cell_angle_beta 90.00
_cell_angle_gamma 90.00
_space_group_name_H-M_alt 'I -4 2 d'
_space_group_IT_number 122
_space_group_name_Hall 'I -4 2bw'
loop_
_atom_site_label
_atom_site_type_symbol
_atom_site_fract_x
_atom_site_fract_y
_atom_site_fract_z
Mn1 Mn 0.000 0.000 0.000
B1 B 0.218 0.250 0.125
Au1 Au 0.000 0.000 0.500
```



Arrangement B

Material: MnB2Au
Method: DFT, PBE
State: relaxed

The structure in CIF format:
```
data_MnB2Au
_chemical_formula_sum 'Mn4 B8 Au4'
_cell_length_a 5.427
_cell_length_b 5.427
_cell_length_c 5.427
_cell_angle_alpha 90.00
_cell_angle_beta 90.00
_cell_angle_gamma 90.00
_space_group_name_H-M_alt 'F m -3 m'
_space_group_IT_number 225
_space_group_name_Hall '-F 4 2 3'
loop_
_atom_site_label
_atom_site_type_symbol
_atom_site_fract_x
_atom_site_fract_y
_atom_site_fract_z
Mn1 Mn 0.000 0.000 0.000
B1 B 0.250 0.250 0.250
Au1 Au 0.000 0.000 0.500
```



Stability check: which of them is least stable? arrangement A.



Arrangement A

Material: MnBAu3
Method: DFT, PBE
State: relaxed

The structure in CIF format:
```
data_MnBAu3
_chemical_formula_sum 'Mn1 B1 Au3'
_cell_length_a 4.379
_cell_length_b 4.379
_cell_length_c 4.379
_cell_angle_alpha 90.00
_cell_angle_beta 90.00
_cell_angle_gamma 90.00
_space_group_name_H-M_alt 'P m -3 m'
_space_group_IT_number 221
_space_group_name_Hall '-P 4 2 3'
loop_
_atom_site_label
_atom_site_type_symbol
_atom_site_fract_x
_atom_site_fract_y
_atom_site_fract_z
Mn1 Mn 0.000 0.000 0.000
B1 B 0.500 0.500 0.500
Au1 Au 0.000 0.500 0.500
```



Arrangement B

Material: MnBAu3
Method: DFT, PBE
State: relaxed

The structure in CIF format:
```
data_MnBAu3
_chemical_formula_sum 'Mn1 B1 Au3'
_cell_length_a 4.946
_cell_length_b 4.946
_cell_length_c 4.946
_cell_angle_alpha 90.00
_cell_angle_beta 90.00
_cell_angle_gamma 90.00
_space_group_name_H-M_alt 'P m -3 m'
_space_group_IT_number 221
_space_group_name_Hall '-P 4 2 3'
loop_
_atom_site_label
_atom_site_type_symbol
_atom_site_fract_x
_atom_site_fract_y
_atom_site_fract_z
Mn1 Mn 0.000 0.000 0.000
B1 B 0.500 0.500 0.500
Au1 Au 0.000 0.000 0.500
```



Stability check: which of them is least stable? arrangement B.



Arrangement A

Material: Mn3BAu
Method: DFT, PBE
State: relaxed

The structure in CIF format:
```
data_Mn3BAu
_chemical_formula_sum 'Mn3 B1 Au1'
_cell_length_a 4.026
_cell_length_b 4.026
_cell_length_c 4.026
_cell_angle_alpha 90.00
_cell_angle_beta 90.00
_cell_angle_gamma 90.00
_space_group_name_H-M_alt 'P m -3 m'
_space_group_IT_number 221
_space_group_name_Hall '-P 4 2 3'
loop_
_atom_site_label
_atom_site_type_symbol
_atom_site_fract_x
_atom_site_fract_y
_atom_site_fract_z
Mn1 Mn 0.000 0.000 0.500
B1 B 0.000 0.000 0.000
Au1 Au 0.500 0.500 0.500
```



Arrangement B

Material: Mn3BAu
Method: DFT, PBE
State: relaxed

The structure in CIF format:
```
data_Mn3BAu
_chemical_formula_sum 'Mn3 B1 Au1'
_cell_length_a 4.899
_cell_length_b 4.899
_cell_length_c 4.899
_cell_angle_alpha 90.00
_cell_angle_beta 90.00
_cell_angle_gamma 90.00
_space_group_name_H-M_alt 'P m -3 m'
_space_group_IT_number 221
_space_group_name_Hall '-P 4 2 3'
loop_
_atom_site_label
_atom_site_type_symbol
_atom_site_fract_x
_atom_site_fract_y
_atom_site_fract_z
Mn1 Mn 0.000 0.000 0.500
B1 B 0.500 0.500 0.500
Au1 Au 0.000 0.000 0.000
```



Stability check: which of them is least stable? arrangement B.



Arrangement A

Material: MnBTeAu2
Method: DFT, PBE
State: relaxed

The structure in CIF format:
```
data_MnBTeAu2
_chemical_formula_sum 'Mn2 B2 Te2 Au4'
_cell_length_a 3.187
_cell_length_b 4.324
_cell_length_c 14.354
_cell_angle_alpha 90.00
_cell_angle_beta 90.00
_cell_angle_gamma 90.00
_space_group_name_H-M_alt 'A m m 2'
_space_group_IT_number 38
_space_group_name_Hall 'A 2 -2'
loop_
_atom_site_label
_atom_site_type_symbol
_atom_site_fract_x
_atom_site_fract_y
_atom_site_fract_z
Mn1 Mn 0.000 0.000 0.000
B1 B 0.500 0.000 0.086
Te1 Te 0.000 0.000 0.820
Au1 Au 0.000 0.000 0.192
Au2 Au 0.500 0.000 0.529
```



Arrangement B

Material: MnBTeAu2
Method: DFT, PBE
State: relaxed

The structure in CIF format:
```
data_MnBTeAu2
_chemical_formula_sum 'Mn1 B1 Te1 Au2'
_cell_length_a 4.280
_cell_length_b 4.128
_cell_length_c 5.434
_cell_angle_alpha 90.00
_cell_angle_beta 105.31
_cell_angle_gamma 90.00
_space_group_name_H-M_alt 'P 1 m 1'
_space_group_IT_number 6
_space_group_name_Hall 'P -2y'
loop_
_atom_site_label
_atom_site_type_symbol
_atom_site_fract_x
_atom_site_fract_y
_atom_site_fract_z
Mn1 Mn 0.000 0.000 0.000
B1 B 0.990 0.500 0.937
Te1 Te 0.777 0.000 0.454
Au1 Au 0.247 0.500 0.365
Au2 Au 0.476 0.500 0.896
```



Arrangement C

Material: MnBTeAu2
Method: DFT, PBE
State: relaxed

The structure in CIF format:
```
data_MnBTeAu2
_chemical_formula_sum 'Mn2 B2 Te2 Au4'
_cell_length_a 10.277
_cell_length_b 3.101
_cell_length_c 6.576
_cell_angle_alpha 90.00
_cell_angle_beta 101.22
_cell_angle_gamma 90.00
_space_group_name_H-M_alt 'C 1 m 1'
_space_group_IT_number 8
_space_group_name_Hall 'C -2y'
loop_
_atom_site_label
_atom_site_type_symbol
_atom_site_fract_x
_atom_site_fract_y
_atom_site_fract_z
Mn1 Mn 0.000 0.000 0.000
B1 B 0.131 0.500 0.091
Te1 Te 0.391 0.000 0.675
Au1 Au 0.026 0.500 0.355
Au2 Au 0.273 0.000 0.074
```



Arrangement D

Material: MnBTeAu2
Method: DFT, PBE
State: relaxed

The structure in CIF format:
```
data_MnBTeAu2
_chemical_formula_sum 'Mn1 B1 Te1 Au2'
_cell_length_a 3.213
_cell_length_b 3.921
_cell_length_c 7.759
_cell_angle_alpha 92.65
_cell_angle_beta 91.86
_cell_angle_gamma 112.34
_space_group_name_H-M_alt 'P 1'
_space_group_IT_number 1
_space_group_name_Hall 'P 1'
loop_
_atom_site_label
_atom_site_type_symbol
_atom_site_fract_x
_atom_site_fract_y
_atom_site_fract_z
Mn1 Mn 0.000 0.000 0.000
B1 B 0.347 0.660 0.060
Te1 Te 0.826 0.026 0.510
Au1 Au 0.298 0.558 0.776
Au2 Au 0.752 0.446 0.228
```



Stability check: which of them is least stable? arrangement B.